Here is a geometry-optimized KNa4Sn structure from Alexandria. Energies are from PBE.

Computed properties:
V ... 37.15 A^3/atom
Energy above the most stable polymorph in this dataset ... 0.000 eV/atom
DOS at the Fermi energy ... 11.67 states/eV/cell
ΔE_f ... -0.56 eV per formula unit
Calculated total energy ... -43.7 eV/cell
Magnetic moment ... 0.00 μB/cell

abc: 12.838 5.656 12.318
angles: 90.00 94.74 90.00
Space group C2/m (No. 12)
Inequivalent atoms, fractional coordinates:
K1 0.062 0.000 0.346 (multiplicity 4)
Na1 0.098 0.500 0.123 (multiplicity 4)
Na2 0.119 0.000 0.926 (multiplicity 4)
Na3 0.169 0.500 0.541 (multiplicity 4)
Na4 0.195 0.500 0.806 (multiplicity 4)
Sn1 0.221 0.000 0.685 (multiplicity 4)